! PBE-GGA CaZrTiPb2, relaxed; values from VASP
&SYSTEM
  ibrav = 0, nat = 5, ntyp = 4
/
ATOMIC_SPECIES
Pb 207.20 Pb.upf
Ca 40.08 Ca.upf
Zr 91.22 Zr.upf
Ti 47.87 Ti.upf
CELL_PARAMETERS angstrom
5.5164 0.0000 0.0000
0.0000 4.6578 0.0000
0.0000 0.0000 5.5164
ATOMIC_POSITIONS angstrom
Pb 0.0000 0.0000 2.7582
Pb 2.7582 0.0000 0.0000
Ca 0.0000 0.0000 0.0000
Zr 2.7582 2.3289 2.7582
Ti 0.0000 2.3289 0.0000
! total magnetic moment	0.90	μB per formula unit
! ΔH_f (0 K)	1241	meV/atom